Computed, not measured: a relaxed BiPb2AuO5 crystal at the PBE level of DFT.

extended XYZ file:
```
18
Lattice="3.4221 0.0000 0.0000 -1.7111 8.8108 0.0000 0.0000 0.0000 10.6809" Properties=species:S:1:pos:R:3 pbc="T T T"
O 0.0000 6.1001 0.4199
O 0.0000 1.8496 0.6282
O 1.7111 0.1613 2.7898
O 1.7111 4.1255 1.6350
O 0.0000 4.6852 6.9755
O 1.7111 3.8355 9.4953
O 1.7111 6.9611 5.9687
O 1.7111 2.7107 5.7604
O 0.0000 8.6495 8.1303
O 0.0000 4.9753 4.1548
Pb 0.0000 2.3247 7.3344
Pb 1.7111 6.4860 1.9940
Pb 1.7111 7.1263 8.3553
Pb 0.0000 1.6844 3.0148
Au 1.7111 0.8209 9.9855
Au 0.0000 7.9898 4.6450
Bi 1.7111 4.8672 5.5406
Bi 0.0000 3.9435 0.2002
```

Results
Electronic total energy, eV/atom: -5.053
Size of the total moment, μB per formula unit: 0.000